9
Lattice="-1.964 -2.664 5.158 -1.388 -2.334 -5.493 5.905 -0.217 -1.622" Properties=species:S:1:pos:R:3 comment="PBE Ca2PPd2Pt4, relaxed" formation_enthalpy_0k_ev_per_atom=-0.793 rho_g_cm3=11.462 e_tot_ev_per_atom=-5.677 dos_at_fermi_per_ev_fu=5.3 magnetic_moment_mub_per_fu=0.00 sg="I4/mmm (139)" pbc="T T T"
Ca -0.547 -3.137 -1.947
Ca 3.100 -2.078 -0.011
P 0.000 0.000 0.000
Pd 3.322 -1.876 -5.233
Pd 1.195 -0.675 -1.883
Pt 0.565 -1.767 -4.456
Pt 2.395 -3.105 -2.815
Pt 3.952 -0.784 -2.659
Pt 0.158 -2.111 0.857